Entry from the Alexandria database: a relaxed structure of Rb2IrAuSe (PBE).

The structure in CIF format:
```
data_Rb2IrAuSe
_chemical_formula_sum 'Rb2 Ir1 Au1 Se1'
_symmetry_space_group_name_H-M 'P 4/m m m'
_symmetry_Int_Tables_number 123
_symmetry_space_group_name_Hall '-P 4 2'
_cell_length_a 6.4163
_cell_length_b 6.4163
_cell_length_c 5.0177
_cell_angle_alpha 90.00
_cell_angle_beta 90.00
_cell_angle_gamma 90.00
loop_
_atom_site_label
_atom_site_fract_x
_atom_site_fract_y
_atom_site_fract_z
Rb1 0.0000 0.5000 0.0000
Ir1 0.0000 0.0000 0.5000
Au1 0.0000 0.0000 0.0000
Se1 0.5000 0.5000 0.5000
```

Calculated values
ΔE_f (raw): 530 meV/atom
energy: -14.91 eV per formula unit
D(E_F): 4.74 states/eV/cell